Entry 1:
Computed, not measured: an optimized crystal structure of Na3Bi2Pb5 at the GGA-PBE level of DFT.

The space group is Ibam (No. 72) and the conventional cell measures 13.786, 14.817 and 6.968 Å, with angles of 90.00, 90.00 and 90.00 degrees. The asymmetric unit holds Na at (0.000, 0.000, 0.250), Na at (0.133, 0.241, 0.000), Bi at (0.131, 0.147, 0.500), Pb at (0.000, 0.500, 0.250), Pb at (0.119, 0.355, 0.500) and Pb at (0.249, 0.500, 0.250).

The crystal system is orthorhombic. Its final energy is -3.087 eV/atom.

=====

Entry 2:
Computed, not measured: an optimized crystal structure of NaBiPb2 at the GGA-PBE level of DFT.

The space group is P4/mmm (No. 123) and the conventional cell measures 4.248, 4.248 and 6.923 Å, with angles of 90.00, 90.00 and 90.00 degrees. The asymmetric unit holds Na at (0.000, 0.000, 0.000), Bi at (0.000, 0.000, 0.500) and Pb at (0.500, 0.500, 0.265).

The crystal system is tetragonal. Its final energy is -3.226 eV/atom.

=====

Entry 3:
Computed, not measured: an optimized crystal structure of NaBi3Pb2 at the GGA-PBE level of DFT.

The space group is C2/c (No. 15) and the conventional cell measures 8.942, 9.937 and 8.952 Å, with angles of 90.00, 96.00 and 90.00 degrees. The asymmetric unit holds Na at (0.000, 0.083, 0.250), Bi at (0.246, 0.416, 0.008), Bi at (0.250, 0.250, 0.500), Pb at (0.000, 0.252, 0.750) and Pb at (0.000, 0.413, 0.250).

Its polymorph energy (0 for the lowest one) is 4.70 kJ/mol of atoms. The crystal system is monoclinic. Its final energy is -3.412 eV/atom.

=====

| no. | Fermi-level density of states (states/eV/f.u.) | formation enthalpy at 0 K (eV/atom) |
| --- | --- | --- |
| 1 | 3.39 | -0.061 |
| 2 | 2.47 | -0.072 |
| 3 | 3.78 | -0.015 |